Record 1
The following is a DFT calculation (PBE-GGA) of a geometry-optimized Y2MnHRh structure.

Structure (POSCAR):
```
Y2MnHRh
1.0
4.8777 0.0000 0.0000
0.0000 4.8777 0.0000
0.0000 0.0000 3.5867
Y Mn H Rh
2 1 1 1
Direct
0.0000 0.5000 0.0000 Y
0.5000 0.0000 0.0000 Y
0.0000 0.0000 0.5000 Mn
0.0000 0.0000 0.0000 H
0.5000 0.5000 0.5000 Rh
```

Output
total energy: -6.9204 eV per atom

Record 2
The following is a DFT calculation (PBE-GGA) of a geometry-optimized YMnH2Rh structure.

Structure (POSCAR):
```
YMnH2Rh
1.0
3.8294 0.0000 0.0000
0.0000 3.8294 0.0000
0.0000 0.0000 5.2335
Y Mn H Rh
1 1 2 1
Direct
0.0000 0.0000 0.0000 Y
0.5000 0.5000 0.0000 Mn
0.0000 0.5000 0.5000 H
0.5000 0.0000 0.5000 H
0.0000 0.0000 0.5000 Rh
```

Output
total energy: -5.4083 eV per atom

Record 3
The following is a DFT calculation (PBE-GGA) of a geometry-optimized Mn2ZnHRh structure.

Structure (POSCAR):
```
Mn2ZnHRh
1.0
3.5925 0.0000 0.0000
0.0000 3.5925 0.0000
0.0000 0.0000 4.0416
Mn Zn H Rh
2 1 1 1
Direct
0.0000 0.5000 0.0000 Mn
0.5000 0.0000 0.0000 Mn
0.0000 0.0000 0.5000 Zn
0.5000 0.5000 0.0000 H
0.5000 0.5000 0.5000 Rh
```

Output
energy relative to the lowest polymorph listed for this composition: 3.35 kcal/mol of atoms

Record 4
The following is a DFT calculation (PBE-GGA) of a geometry-optimized MnZnHRh2 structure.

Structure (POSCAR):
```
MnZnHRh2
1.0
4.0034 0.0000 0.0000
0.0000 4.0034 0.0000
0.0000 0.0000 3.6579
Mn Zn H Rh
1 1 1 2
Direct
0.0000 0.0000 0.0000 Mn
0.5000 0.5000 0.0000 Zn
0.5000 0.5000 0.5000 H
0.0000 0.5000 0.5000 Rh
0.5000 0.0000 0.5000 Rh
```

Output
energy relative to the lowest polymorph listed for this composition: 1.96 kcal/mol of atoms

Record 5
The following is a DFT calculation (PBE-GGA) of a geometry-optimized MnZnHRh2 structure.

Structure (POSCAR):
```
MnZnHRh2
1.0
3.9837 0.0000 0.0000
0.0000 3.9837 0.0000
0.0000 0.0000 3.6722
Mn Zn H Rh
1 1 1 2
Direct
0.0000 0.0000 0.0000 Mn
0.5000 0.5000 0.0000 Zn
0.0000 0.0000 0.5000 H
0.0000 0.5000 0.5000 Rh
0.5000 0.0000 0.5000 Rh
```

Output
energy relative to the lowest polymorph listed for this composition: 0.00 kcal/mol of atoms

Record 6
The following is a DFT calculation (PBE-GGA) of a geometry-optimized Mn2ZnHRh structure.

Structure (POSCAR):
```
Mn2ZnHRh
1.0
3.6699 0.0000 0.0000
0.0000 3.6699 0.0000
0.0000 0.0000 4.0649
Mn Zn H Rh
2 1 1 1
Direct
0.0000 0.5000 0.0000 Mn
0.5000 0.0000 0.0000 Mn
0.0000 0.0000 0.5000 Zn
0.0000 0.0000 0.0000 H
0.5000 0.5000 0.5000 Rh
```

Output
energy relative to the lowest polymorph listed for this composition: 0.00 kcal/mol of atoms